CdTe2AsI: optimized geometry, PBE.

Cell lengths 5.5604, 5.5604, 5.5503 Å; angles 90.00, 90.00, 90.00 degrees
Space group P4/mmm (No. 123)
Symmetry-distinct sites (fractional):
Cd 0.0000 0.0000 0.0000 [1 per cell]
Te 0.0000 0.5000 0.5000 [2 per cell]
As 0.5000 0.5000 0.5000 [1 per cell]
I 0.5000 0.5000 0.0000 [1 per cell]

## Properties
- total magnetic moment (μB/cell) = 0.00
- energy above the lowest structure with this stoichiometry (meV/atom) = 0
- energy (eV/atom) = -2.354
- raw formation energy (meV/atom) = 326

---

YCdAs2I: optimized geometry, PBE.

Cell lengths 5.0798, 5.0798, 5.8471 Å; angles 90.00, 90.00, 90.00 degrees
Space group P4/mmm (No. 123)
Symmetry-distinct sites (fractional):
Y 0.0000 0.0000 0.0000 [1 per cell]
Cd 0.5000 0.5000 0.5000 [1 per cell]
As 0.0000 0.5000 0.5000 [2 per cell]
I 0.5000 0.5000 0.0000 [1 per cell]

## Properties
- total magnetic moment (μB/cell) = 0.00
- energy (eV/atom) = -3.408
- raw formation energy (meV/atom) = 238

---

Calculated DOS at the Fermi energy (states/eV/cell), listed in the same order as above: 4.1; 2.5